Entry 1:
The following is a DFT calculation (PBE) of a geometry-optimized BeZn2Au2 structure.

abc: 6.6961 6.6961 3.5073
angles: 90.00 90.00 90.00
Last column: nearest neighbours and their distance in Å.
Fractional coordinates of all 10 atoms:
Be: 0.0000 0.0000 0.0000  4 Zn 2.59
Be: 0.5000 0.5000 0.0000  4 Zn 2.59
Zn: 0.1398 0.3602 0.0000  6 Au 2.56-2.69, 2 Be 2.59, 1 Zn 2.65
Zn: 0.3602 0.8602 0.0000  6 Au 2.56-2.69, 2 Be 2.59, 1 Zn 2.65
Zn: 0.6398 0.1398 0.0000  6 Au 2.56-2.69, 2 Be 2.59, 1 Zn 2.65
Zn: 0.8602 0.6398 0.0000  6 Au 2.56-2.69, 2 Be 2.59, 1 Zn 2.65
Au: 0.1632 0.6632 0.5000  6 Zn 2.56-2.69
Au: 0.3368 0.1632 0.5000  6 Zn 2.56-2.69
Au: 0.6632 0.8368 0.5000  6 Zn 2.56-2.69
Au: 0.8368 0.3368 0.5000  6 Zn 2.56-2.69

Results
- Density of states at the Fermi level: 0.113 states/eV per atom
- Energy of formation: 54 kJ/mol of formula units
- E above lowest polymorph: 0.2081 eV per atom

***

Entry 2:
The following is a DFT calculation (PBE) of a geometry-optimized LaRh2Pb structure.

abc: 4.2103 5.5748 5.5748
angles: 40.86 90.00 90.00
Last column: nearest neighbours and their distance in Å.
Fractional coordinates of all 4 atoms:
La: 0.0000 0.0000 0.0000  7 Rh 2.85-3.07
Rh: 0.0000 0.7276 0.7276  2 Rh 2.76, 3 La 2.85-3.07, 4 Pb 2.93
Rh: 0.5000 0.5561 0.5561  2 Rh 2.76, 3 Pb 2.84-3.07, 4 La 2.93
Pb: 0.5000 0.2839 0.2839  7 Rh 2.84-3.07

Results
- Density of states at the Fermi level: 0.720 states/eV per atom
- Energy of formation: -204 kJ/mol of formula units

***

Entry 3:
The following is a DFT calculation (PBE) of a geometry-optimized Sb4O9 structure.

abc: 9.5447 3.8735 10.3372
angles: 90.00 100.98 90.00
Last column: nearest neighbours and their distance in Å.
Fractional coordinates of all 26 atoms:
Sb: 0.0098 0.0000 0.1680  4 O 1.97-2.14
Sb: 0.1640 0.0000 0.5736  6 O 1.95-2.09
Sb: 0.3327 0.0000 0.9533  6 O 1.94-2.10
Sb: 0.4359 0.0000 0.3306  3 O 1.99-2.01
Sb: 0.5641 0.0000 0.6694  3 O 1.99-2.01
Sb: 0.6673 0.0000 0.0467  6 O 1.94-2.10
Sb: 0.8360 0.0000 0.4264  6 O 1.95-2.09
Sb: 0.9902 0.0000 0.8320  4 O 1.97-2.14
O: 0.0438 0.0000 0.3895  3 Sb 2.03-2.25
O: 0.0490 0.5000 0.1841  2 Sb 1.97
O: 0.1403 0.0000 0.0083  3 Sb 2.02-2.25
O: 0.1854 0.5000 0.5781  2 Sb 1.95
O: 0.1948 0.0000 0.7750  3 Sb 2.05-2.14
O: 0.3309 0.5000 0.9537  2 Sb 1.94
O: 0.3732 0.0000 0.5462  2 Sb 2.01-2.07
O: 0.3865 0.5000 0.3142  2 Sb 1.99
O: 0.4858 0.0000 0.1281  3 Sb 2.07-2.23
O: 0.5142 0.0000 0.8719  3 Sb 2.07-2.23
O: 0.6135 0.5000 0.6858  2 Sb 1.99
O: 0.6268 0.0000 0.4538  2 Sb 2.01-2.07
O: 0.6691 0.5000 0.0463  2 Sb 1.94
O: 0.8052 0.0000 0.2250  3 Sb 2.05-2.14
O: 0.8146 0.5000 0.4219  2 Sb 1.95
O: 0.8597 0.0000 0.9917  3 Sb 2.02-2.25
O: 0.9510 0.5000 0.8159  2 Sb 1.97
O: 0.9562 0.0000 0.6105  3 Sb 2.03-2.25

Results
- Density of states at the Fermi level: 0.069 states/eV per atom
- Formation energy without anion corrections: -1.155 eV per atom

***

Entry 4:
The following is a DFT calculation (PBE) of a geometry-optimized Sc2AlH8 structure.

abc: 5.6751 5.6751 5.8483
angles: 105.11 105.11 33.33
Last column: nearest neighbours and their distance in Å.
Fractional coordinates of all 11 atoms:
Sc: 0.2295 0.2295 0.2348  8 H 1.93-2.05
Sc: 0.7705 0.7705 0.7652  8 H 1.93-2.05
Al: 0.0000 0.0000 0.5000  2 H 1.66
H: 0.0466 0.0466 0.2526  1 Al 1.66
H: 0.2638 0.2638 0.5852  2 H 1.89, 3 Sc 1.93-1.98
H: 0.3258 0.3258 0.9821  3 Sc 2.03-2.05, 1 H 2.23
H: 0.4141 0.4141 0.3835  2 Al 1.91, 1 Sc 1.96, 1 H 1.99
H: 0.5859 0.5859 0.6165  2 Al 1.91, 1 Sc 1.96, 1 H 1.99
H: 0.6742 0.6742 0.0179  3 Sc 2.03-2.05, 1 H 2.23
H: 0.7362 0.7362 0.4148  2 H 1.89, 3 Sc 1.93-1.98
H: 0.9534 0.9534 0.7474  1 Al 1.66

Results
- Density of states at the Fermi level: 0.230 states/eV per atom
- Final energy: -4.20 eV/atom

***

Entry 5:
The following is a DFT calculation (PBE) of a geometry-optimized TcNi2Au structure.

abc: 4.4605 4.4605 4.9037
angles: 97.94 97.94 34.79
Last column: nearest neighbours and their distance in Å.
Fractional coordinates of all 4 atoms:
Tc: 0.0000 0.0000 0.0000  6 Ni 2.54-2.58, 2 Tc 2.67, 4 Au 2.79
Ni: 0.2533 0.2533 0.7826  4 Ni 2.52-2.67, 3 Tc 2.54-2.58, 3 Au 2.68-2.74
Ni: 0.7467 0.7467 0.2174  4 Ni 2.52-2.67, 3 Tc 2.54-2.58, 3 Au 2.68-2.74
Au: 0.5000 0.5000 0.5000  2 Au 2.67, 6 Ni 2.68-2.74, 4 Tc 2.79

Results
- Density of states at the Fermi level: 0.968 states/eV per atom
- Energy of formation: 69 kJ/mol of formula units
- E above lowest polymorph: 0.1345 eV per atom

***

Entry 6:
The following is a DFT calculation (PBE) of a geometry-optimized MgSc5Ru4 structure.

abc: 3.2346 3.2346 17.2415
angles: 90.00 90.00 90.00
Last column: nearest neighbours and their distance in Å.
Fractional coordinates of all 10 atoms:
Mg: 0.0000 0.0000 0.0000  4 Mg 3.23, 8 Sc 3.26
Sc: 0.5000 0.5000 0.1347  4 Ru 2.69
Sc: 0.5000 0.5000 0.3168  8 Ru 2.76-2.86
Sc: 0.5000 0.5000 0.5000  8 Ru 2.80
Sc: 0.5000 0.5000 0.6832  8 Ru 2.76-2.86
Sc: 0.5000 0.5000 0.8653  4 Ru 2.69
Ru: 0.0000 0.0000 0.2172  8 Sc 2.69-2.86
Ru: 0.0000 0.0000 0.4063  8 Sc 2.76-2.80
Ru: 0.0000 0.0000 0.5937  8 Sc 2.76-2.80
Ru: 0.0000 0.0000 0.7828  8 Sc 2.69-2.86

Results
- Density of states at the Fermi level: 0.703 states/eV per atom
- Energy of formation: -489 kJ/mol of formula units

***

Entry 7:
The following is a DFT calculation (PBE) of a geometry-optimized RbAlSn structure.

abc: 4.6419 6.6233 7.5638
angles: 93.67 106.25 108.99
Last column: nearest neighbours and their distance in Å.
Fractional coordinates of all 6 atoms:
Rb: 0.0000 0.0000 0.0000  5 Sn 3.68-3.98, 1 Rb 3.84, 3 Al 3.89-4.02
Rb: 0.4488 0.5696 0.2950  5 Al 3.58-3.93, 2 Sn 3.76-3.81, 1 Rb 3.84
Al: 0.1720 0.5812 0.6909  1 Al 2.61, 3 Sn 2.80-2.85
Al: 0.8220 0.1929 0.4996  1 Al 2.61, 2 Sn 2.76
Sn: 0.2571 0.9821 0.5715  3 Al 2.76-2.80, 1 Sn 3.04
Sn: 0.6546 0.4105 0.8358  2 Al 2.82-2.85, 1 Sn 3.04

Results
- Density of states at the Fermi level: 0.071 states/eV per atom
- Energy of formation: -20 kJ/mol of formula units

***

Entry 8:
The following is a DFT calculation (PBE) of a geometry-optimized ScSnRuO6 structure.

abc: 5.1998 5.1998 9.0571
angles: 90.00 90.00 120.00
Last column: nearest neighbours and their distance in Å.
Fractional coordinates of all 18 atoms:
Sc: 0.3333 0.6667 0.2500  6 O 2.10
Sc: 0.6667 0.3333 0.7500  6 O 2.10
Sn: 0.0000 0.0000 0.0000  6 O 2.12
Sn: 0.0000 0.0000 0.5000  6 O 2.12
Ru: 0.3333 0.6667 0.7500  6 O 1.98
Ru: 0.6667 0.3333 0.2500  6 O 1.98
O: 0.0173 0.3482 0.6287  1 Ru 1.98, 1 Sc 2.10, 1 Sn 2.12
O: 0.0173 0.6691 0.8713  1 Ru 1.98, 1 Sc 2.10, 1 Sn 2.12
O: 0.3309 0.3482 0.8713  1 Ru 1.98, 1 Sc 2.10, 1 Sn 2.12
O: 0.3309 0.9827 0.6287  1 Ru 1.98, 1 Sc 2.10, 1 Sn 2.12
O: 0.3482 0.0173 0.1287  1 Ru 1.98, 1 Sc 2.10, 1 Sn 2.12
O: 0.3482 0.3309 0.3713  1 Ru 1.98, 1 Sc 2.10, 1 Sn 2.12
O: 0.6518 0.6691 0.6287  1 Ru 1.98, 1 Sc 2.10, 1 Sn 2.12
O: 0.6518 0.9827 0.8713  1 Ru 1.98, 1 Sc 2.10, 1 Sn 2.12
O: 0.6691 0.0173 0.3713  1 Ru 1.98, 1 Sc 2.10, 1 Sn 2.12
O: 0.6691 0.6518 0.1287  1 Ru 1.98, 1 Sc 2.10, 1 Sn 2.12
O: 0.9827 0.3309 0.1287  1 Ru 1.98, 1 Sc 2.10, 1 Sn 2.12
O: 0.9827 0.6518 0.3713  1 Ru 1.98, 1 Sc 2.10, 1 Sn 2.12

Results
- Density of states at the Fermi level: 0.250 states/eV per atom
- Formation energy without anion corrections: -1.770 eV per atom

***

Entry 9:
The following is a DFT calculation (PBE) of a geometry-optimized YPaNi10 structure.

abc: 3.9893 4.8679 8.3820
angles: 90.00 90.00 90.00
Last column: nearest neighbours and their distance in Å.
Fractional coordinates of all 12 atoms:
Y: 0.0000 0.0000 0.0000  18 Ni 2.84-3.16
Pa: 0.0000 0.5000 0.5000  6 Ni 2.72-2.78
Ni: 0.0000 0.0000 0.3385  6 Ni 2.41-2.45
Ni: 0.0000 0.0000 0.6615  6 Ni 2.41-2.45
Ni: 0.0000 0.5000 0.1752  6 Ni 2.42-2.48
Ni: 0.0000 0.5000 0.8248  6 Ni 2.42-2.48
Ni: 0.5000 0.0000 0.5000  8 Ni 2.41
Ni: 0.5000 0.2523 0.2531  8 Ni 2.41-2.46
Ni: 0.5000 0.2523 0.7469  8 Ni 2.41-2.46
Ni: 0.5000 0.5000 0.0000  8 Ni 2.44-2.48
Ni: 0.5000 0.7477 0.2531  8 Ni 2.41-2.46
Ni: 0.5000 0.7477 0.7469  8 Ni 2.41-2.46

Results
- Density of states at the Fermi level: 1.184 states/eV per atom
- Energy of formation: -417 kJ/mol of formula units

***

Entry 10:
The following is a DFT calculation (PBE) of a geometry-optimized YTcP2Rh structure.

abc: 5.6328 5.6328 5.6328
angles: 137.62 137.62 61.49
Last column: nearest neighbours and their distance in Å.
Fractional coordinates of all 5 atoms:
Y: 0.0000 0.0000 0.0000  8 P 3.12, 4 Tc 3.16, 4 Rh 3.16
Tc: 0.7500 0.2500 0.5000  4 P 2.37
P: 0.3761 0.3761 0.0000  2 Tc 2.37, 2 Rh 2.37, 1 P 2.40
P: 0.6239 0.6239 0.0000  2 Tc 2.37, 2 Rh 2.37, 1 P 2.40
Rh: 0.2500 0.7500 0.5000  4 P 2.37

Results
- Density of states at the Fermi level: 0.395 states/eV per atom
- Energy of formation: -495 kJ/mol of formula units

***

Entry 11:
The following is a DFT calculation (PBE) of a geometry-optimized ReAu structure.

abc: 9.9713 9.9713 2.7686
angles: 90.00 90.00 90.00
Last column: nearest neighbours and their distance in Å.
Fractional coordinates of all 16 atoms:
Re: 0.0363 0.8232 0.0000  6 Re 2.54-2.77
Re: 0.0797 0.5913 0.5000  1 Re 2.42
Re: 0.1768 0.0363 0.0000  6 Re 2.54-2.77
Re: 0.4087 0.0797 0.5000  1 Re 2.42
Re: 0.5913 0.9203 0.5000  1 Re 2.42
Re: 0.8232 0.9637 0.0000  6 Re 2.54-2.77
Re: 0.9203 0.4087 0.5000  1 Re 2.42
Re: 0.9637 0.1768 0.0000  6 Re 2.54-2.77
Au: 0.1834 0.3009 0.5000  6 Au 2.77-3.07, 6 Re 2.83-3.08
Au: 0.3009 0.8166 0.5000  6 Au 2.77-3.07, 6 Re 2.83-3.08
Au: 0.3093 0.5417 0.0000  2 Re 2.72, 6 Au 2.75-3.04
Au: 0.4583 0.3093 0.0000  2 Re 2.72, 6 Au 2.75-3.04
Au: 0.5417 0.6907 0.0000  2 Re 2.72, 6 Au 2.75-3.04
Au: 0.6907 0.4583 0.0000  2 Re 2.72, 6 Au 2.75-3.04
Au: 0.6991 0.1834 0.5000  6 Au 2.77-3.07, 6 Re 2.83-3.08
Au: 0.8166 0.6991 0.5000  6 Au 2.77-3.07, 6 Re 2.83-3.08

Results
- Density of states at the Fermi level: 0.632 states/eV per atom
- Energy of formation: 88 kJ/mol of formula units
- E above lowest polymorph: 0.3144 eV per atom

***

Entry 12:
The following is a DFT calculation (PBE) of a geometry-optimized Ac2LaSb3 structure.

abc: 8.2160 8.2160 8.2160
angles: 146.41 131.76 60.06
Last column: nearest neighbours and their distance in Å.
Fractional coordinates of all 6 atoms:
Ac: 0.1675 0.1675 0.0000  6 Sb 3.36-3.40
Ac: 0.8325 0.8325 0.0000  6 Sb 3.36-3.40
La: 0.5000 0.5000 0.0000  6 Sb 3.30-3.36
Sb: 0.0000 0.5000 0.5000  2 La 3.36, 4 Ac 3.36
Sb: 0.3388 0.8388 0.5000  2 La 3.30, 4 Ac 3.36-3.40
Sb: 0.6612 0.1612 0.5000  2 La 3.30, 4 Ac 3.36-3.40

Results
- Density of states at the Fermi level: 0.091 states/eV per atom
- Formation energy without anion corrections: -1.231 eV per atom